The following is a DFT calculation (meta-GGA SCAN) of a PBEsol-optimized structure of KW3.

The structure belongs to space group R-3m (No. 166, hexagonal axes); the cell edges are 2.7830, 2.7830 and 33.1462 Å and the angles 90.00°, 90.00° and 120.00°. The distinct sites, in fractional coordinates, are K at (0.0000, 0.0000, 0.0000), W at (0.0000, 0.0000, 0.2390) and W at (0.0000, 0.0000, 0.5000).

As for the energy relative to the lowest polymorph listed for this composition: 0.0 meV per atom. The calculation puts the energy of formation from the pure elements at 1.09 eV/atom. As for the spin magnetization: 0.0 μB/f.u.

---

The following is a DFT calculation (meta-GGA SCAN) of a PBEsol-optimized structure of K2W.

The structure belongs to space group Fd-3m (No. 227, origin choice 2); the cell edges are 9.486, 9.486 and 9.486 Å and the angles 90.00°, 90.00° and 90.00°. The distinct sites, in fractional coordinates, are K at (0.000, 0.000, 0.000) and W at (0.125, 0.125, 0.625).

The calculation puts the energy of formation from the pure elements at 2.32 eV/atom. As for the spin magnetization: 5.1 μB/f.u.

---

The following is a DFT calculation (meta-GGA SCAN) of a PBEsol-optimized structure of KW3.

The structure belongs to space group C2/m (No. 12); the cell edges are 9.173, 2.620 and 7.410 Å and the angles 90.00°, 90.78° and 90.00°. The distinct sites, in fractional coordinates, are K at (0.000, 0.000, 0.000), W at (0.000, 0.500, 0.500) and W at (0.241, 0.000, 0.659).

As for the energy relative to the lowest polymorph listed for this composition: 228.7 meV per atom. The calculation puts the energy of formation from the pure elements at 1.32 eV/atom. As for the spin magnetization: 0.0 μB/f.u.